Entry one
This record from the Alexandria database describes Pm8Tm2Mg after structural relaxation. The functional is PBE-GGA.

Output
Fermi-level density of states: 27.99 states/eV per cell
M_tot: 0.00 μB per cell

Cell: 11.8961 11.3960 5.9846 Å, 90.00 103.44 90.00°
Space group C2/m (No. 12)
Inequivalent atoms, fractional coordinates:
1 Pm 0.0806 0.0000 0.2917 (multiplicity 4)
2 Pm 0.1053 0.2608 0.7815 (multiplicity 8)
3 Pm 0.2287 0.0000 0.9088 (multiplicity 4)
4 Tm 0.1332 0.5000 0.4906 (multiplicity 4)
5 Mg 0.0000 0.5000 0.0000 (multiplicity 2)

=====

Entry two
This record from the Alexandria database describes Pm8Tm2Mg after structural relaxation. The functional is PBE-GGA.

Output
Fermi-level density of states: 33.94 states/eV per cell
M_tot: 0.00 μB per cell

Cell: 10.3882 13.2154 5.4660 Å, 90.00 90.11 90.00°
Space group Cm (No. 8)
Inequivalent atoms, fractional coordinates:
1 Pm 0.0000 0.0000 0.0000 (multiplicity 2)
2 Pm 0.0010 0.3621 0.5011 (multiplicity 4)
3 Pm 0.1724 0.1379 0.4991 (multiplicity 4)
4 Pm 0.1733 0.5000 0.0002 (multiplicity 2)
5 Pm 0.3369 0.2531 0.0001 (multiplicity 4)
6 Tm 0.3367 0.3795 0.5001 (multiplicity 4)
7 Mg 0.3361 0.0000 0.0001 (multiplicity 2)

=====

Which of them is the most stable, and which is the least stable? entry two and entry one, in that order.

=====

Entry one
This record from the Alexandria database describes Pm2Tm6Mg after structural relaxation. The functional is PBE-GGA.

Output
Fermi-level density of states: 26.07 states/eV per cell
M_tot: 0.00 μB per cell

Cell: 10.4605 10.4605 4.9880 Å, 90.00 90.00 90.00°
Space group P4_2/mnm (No. 136)
Inequivalent atoms, fractional coordinates:
1 Pm 0.1648 0.1648 0.0000 (multiplicity 4)
2 Tm 0.0010 0.6654 0.5000 (multiplicity 8)
3 Tm 0.1687 0.8313 0.0000 (multiplicity 4)
4 Mg 0.0000 0.0000 0.5000 (multiplicity 2)

=====

Entry two
This record from the Alexandria database describes Pm2Tm6Mg after structural relaxation. The functional is PBE-GGA.

Output
Fermi-level density of states: 15.01 states/eV per cell
M_tot: 0.96 μB per cell

Cell: 3.5184 3.5184 25.9029 Å, 90.00 90.00 120.00°
Space group P-6m2 (No. 187)
Inequivalent atoms, fractional coordinates:
1 Pm 0.0000 0.0000 0.1733 (multiplicity 2)
2 Tm 0.0000 0.0000 0.3946 (multiplicity 2)
3 Tm 0.6667 0.3333 0.0637 (multiplicity 2)
4 Tm 0.6667 0.3333 0.2881 (multiplicity 2)
5 Mg 0.6667 0.3333 0.5000 (multiplicity 1)

=====

Which of them is the most stable, and which is the least stable? entry one and entry two, in that order.

=====

Entry one
This record from the Alexandria database describes Pm2TmMg2 after structural relaxation. The functional is PBE-GGA.

Output
Fermi-level density of states: 10.77 states/eV per cell
M_tot: 0.00 μB per cell

Cell: 3.8090 5.4390 14.1815 Å, 90.00 97.76 90.00°
Space group P2_1/m (No. 11)
Inequivalent atoms, fractional coordinates:
1 Pm 0.0449 0.2500 0.0899 (multiplicity 2)
2 Pm 0.2359 0.2500 0.4736 (multiplicity 2)
3 Tm 0.1502 0.7500 0.3009 (multiplicity 2)
4 Mg 0.3606 0.7500 0.7197 (multiplicity 2)
5 Mg 0.4446 0.2500 0.8892 (multiplicity 2)

=====

Entry two
This record from the Alexandria database describes Pm2TmMg2 after structural relaxation. The functional is PBE-GGA.

Output
Fermi-level density of states: 14.81 states/eV per cell
M_tot: 0.00 μB per cell

Cell: 5.2279 6.9573 8.2636 Å, 90.00 90.00 90.00°
Space group Immm (No. 71)
Inequivalent atoms, fractional coordinates:
1 Pm 0.0000 0.0000 0.1952 (multiplicity 4)
2 Tm 0.0000 0.5000 0.0000 (multiplicity 2)
3 Mg 0.0000 0.2898 0.5000 (multiplicity 4)

=====

Which of them is the most stable, and which is the least stable? entry one and entry two, in that order.

=====

Entry one
This record from the Alexandria database describes Pm2MgV after structural relaxation. The functional is PBE-GGA.

Output
Fermi-level density of states: 20.72 states/eV per cell
M_tot: 8.39 μB per cell

Cell: 3.2804 3.2804 34.8038 Å, 90.00 90.00 120.00°
Space group R-3m (No. 166, hexagonal axes)
Inequivalent atoms, fractional coordinates:
1 Pm 0.0000 0.0000 0.0815 (multiplicity 6)
2 Mg 0.0000 0.0000 0.5000 (multiplicity 3)
3 V 0.0000 0.0000 0.0000 (multiplicity 3)

=====

Entry two
This record from the Alexandria database describes Pm2MgV after structural relaxation. The functional is PBE-GGA.

Output
Fermi-level density of states: 3.20 states/eV per cell
M_tot: 2.98 μB per cell

Cell: 3.6939 3.6939 7.9289 Å, 90.00 90.00 90.00°
Space group P4/mmm (No. 123)
Inequivalent atoms, fractional coordinates:
1 Pm 0.0000 0.0000 0.2241 (multiplicity 2)
2 Mg 0.5000 0.5000 0.5000 (multiplicity 1)
3 V 0.5000 0.5000 0.0000 (multiplicity 1)

=====

Which of them is the most stable, and which is the least stable? entry two and entry one, in that order.

=====

Entry one
This record from the Alexandria database describes PmY6Mg after structural relaxation. The functional is PBE-GGA.

Output
Fermi-level density of states: 35.69 states/eV per cell
M_tot: 0.00 μB per cell

Cell: 9.4015 9.4015 10.0347 Å, 90.00 90.00 120.00°
Space group R-3 (No. 148, hexagonal axes)
Inequivalent atoms, fractional coordinates:
1 Pm 0.0000 0.0000 0.0000 (multiplicity 3)
2 Y 0.0217 0.2635 0.7199 (multiplicity 18)
3 Mg 0.0000 0.0000 0.5000 (multiplicity 3)

=====

Entry two
This record from the Alexandria database describes PmY6Mg after structural relaxation. The functional is PBE-GGA.

Output
Fermi-level density of states: 26.77 states/eV per cell
M_tot: 0.01 μB per cell

Cell: 11.2413 5.0575 9.8720 Å, 90.00 115.98 90.00°
Space group C2/m (No. 12)
Inequivalent atoms, fractional coordinates:
1 Pm 0.0000 0.0000 0.0000 (multiplicity 2)
2 Y 0.0031 0.5000 0.7473 (multiplicity 4)
3 Y 0.2437 0.0000 0.3768 (multiplicity 4)
4 Y 0.2496 0.0000 0.8710 (multiplicity 4)
5 Mg 0.0000 0.0000 0.5000 (multiplicity 2)

=====

Which of them is the most stable, and which is the least stable? entry two and entry one, in that order.

=====

Entry one
This record from the Alexandria database describes PmYMg3 after structural relaxation. The functional is PBE-GGA.

Output
Fermi-level density of states: 42.56 states/eV per cell
M_tot: 0.00 μB per cell

Cell: 20.2423 10.6515 5.2404 Å, 90.00 104.98 90.00°
Space group C2/c (No. 15)
Inequivalent atoms, fractional coordinates:
1 Pm 0.1987 0.1251 0.4491 (multiplicity 8)
2 Y 0.0000 0.1268 0.2500 (multiplicity 4)
3 Y 0.0000 0.3693 0.7500 (multiplicity 4)
4 Mg 0.0968 0.1230 0.8470 (multiplicity 8)
5 Mg 0.1080 0.3861 0.3567 (multiplicity 8)
6 Mg 0.1908 0.3566 0.9393 (multiplicity 8)

=====

Entry two
This record from the Alexandria database describes PmYMg3 after structural relaxation. The functional is PBE-GGA.

Output
Fermi-level density of states: 36.96 states/eV per cell
M_tot: 0.80 μB per cell

Cell: 6.2991 6.2991 24.5850 Å, 90.00 90.00 120.00°
Space group R-3m (No. 166, hexagonal axes)
Inequivalent atoms, fractional coordinates:
1 Pm 0.0000 0.0000 0.0688 (multiplicity 6)
2 Y 0.0000 0.0000 0.3347 (multiplicity 6)
3 Mg 0.0087 0.5044 0.8818 (multiplicity 18)

=====

Which of them is the most stable, and which is the least stable? entry one and entry two, in that order.